Compound: BaTi2Ga
Source: Alexandria
Functional: PBE
Structure: optimized geometry

a b c (Å): 4.8176 4.8176 10.4941
angles (deg): 76.73 76.73 90.00
Fractional positions:
1 Ba 0.0000 0.0000 0.0000
2 Ba 0.7500 0.2500 0.5000
3 Ti 0.8750 0.6432 0.7500
4 Ti 0.3750 0.6068 0.7500
5 Ti 0.3932 0.1250 0.2500
6 Ti 0.3568 0.6250 0.2500
7 Ga 0.2500 0.7500 0.5000
8 Ga 0.5000 0.5000 0.0000

Summary:
D(E_F)	1.416	states/eV per atom
ρ	4.36	g/cm3
DFT formation energy	2.04	eV/f.u.
spin magnetization	0.00	Bohr magnetons per cell